# 1
The following is a meta-GGA SCAN calculation of a PBEsol-optimized structure of LaAgSb2I, from Alexandria via LeMat-Bulk.

Output
As for the symmetry: P4/mmm (123). Its crystal system is tetragonal. Its formation energy from raw total energies is 0.3769 eV/atom. The value obtained for the density of states at the Fermi level is 2.79 states/eV per cell. The total energy comes out at -36.7701 eV per atom.

a = 6.042 Å, b = 6.042 Å, c = 6.028 Å
α = 90.00°, β = 90.00°, γ = 90.00°
Fractional coordinates of all 5 atoms:
La  0.000  0.000  0.000
Ag  0.500  0.500  0.500
Sb  0.000  0.500  0.000
Sb  0.500  0.000  0.000
I  0.000  0.000  0.500


# 2
The following is a meta-GGA SCAN calculation of a PBEsol-optimized structure of Li3AgI, from Alexandria via LeMat-Bulk.

Output
As for the symmetry: Pm-3m (221). Its crystal system is cubic. Its formation energy from raw total energies is -0.2143 eV/atom. The value obtained for the density of states at the Fermi level is 2.39 states/eV per cell. The total energy comes out at -15.2699 eV per atom.

a = 5.000 Å, b = 5.000 Å, c = 5.000 Å
α = 90.00°, β = 90.00°, γ = 90.00°
Fractional coordinates of all 5 atoms:
Li  0.000  0.000  0.500
Li  0.000  0.500  0.000
Li  0.500  0.000  0.000
Ag  0.000  0.000  0.000
I  0.500  0.500  0.500


# 3
The following is a meta-GGA SCAN calculation of a PBEsol-optimized structure of LiAgI2, from Alexandria via LeMat-Bulk.

Output
As for the symmetry: I-42d (122). Its crystal system is tetragonal. Its formation energy from raw total energies is -0.7813 eV/atom. The value obtained for the density of states at the Fermi level is 0.00 states/eV per cell. The total energy comes out at -27.5913 eV per atom.

a = 7.838 Å, b = 7.838 Å, c = 7.838 Å
α = 132.05°, β = 132.05°, γ = 70.15°
Fractional coordinates of all 8 atoms:
Li  0.000  0.000  0.000
Li  0.750  0.250  0.500
Ag  0.250  0.750  0.500
Ag  0.500  0.500  0.000
I  0.117  0.625  0.992
I  0.375  0.367  0.492
I  0.633  0.125  0.008
I  0.875  0.883  0.508


# 4
The following is a meta-GGA SCAN calculation of a PBEsol-optimized structure of MgAgI3, from Alexandria via LeMat-Bulk.

Output
As for the symmetry: Pm-3m (221). Its crystal system is cubic. Its formation energy from raw total energies is -0.0157 eV/atom. The value obtained for the density of states at the Fermi level is 2.24 states/eV per cell. The total energy comes out at -29.3288 eV per atom.

a = 5.567 Å, b = 5.567 Å, c = 5.567 Å
α = 90.00°, β = 90.00°, γ = 90.00°
Fractional coordinates of all 5 atoms:
Mg  0.000  0.000  0.000
Ag  0.500  0.500  0.500
I  0.000  0.500  0.500
I  0.500  0.000  0.500
I  0.500  0.500  0.000


# 5
The following is a meta-GGA SCAN calculation of a PBEsol-optimized structure of Mg2AgIN, from Alexandria via LeMat-Bulk.

Output
As for the symmetry: P4/mmm (123). Its crystal system is tetragonal. Its formation energy from raw total energies is 1.6388 eV/atom. The value obtained for the density of states at the Fermi level is 2.56 states/eV per cell. The total energy comes out at -15.8306 eV per atom.

a = 5.808 Å, b = 5.808 Å, c = 5.316 Å
α = 90.00°, β = 90.00°, γ = 90.00°
Fractional coordinates of all 5 atoms:
Mg  0.000  0.500  0.000
Mg  0.500  0.000  0.000
Ag  0.000  0.000  0.500
I  0.000  0.000  0.000
N  0.500  0.500  0.500


# 6
The following is a meta-GGA SCAN calculation of a PBEsol-optimized structure of NaMg2AgI, from Alexandria via LeMat-Bulk.

Output
As for the symmetry: P4/mmm (123). Its crystal system is tetragonal. Its formation energy from raw total energies is 0.6085 eV/atom. The value obtained for the density of states at the Fermi level is 2.43 states/eV per cell. The total energy comes out at -15.8457 eV per atom.

a = 5.748 Å, b = 5.748 Å, c = 5.471 Å
α = 90.00°, β = 90.00°, γ = 90.00°
Fractional coordinates of all 5 atoms:
Na  0.000  0.000  0.000
Mg  0.000  0.500  0.000
Mg  0.500  0.000  0.000
Ag  0.500  0.500  0.500
I  0.000  0.000  0.500


# 7
The following is a meta-GGA SCAN calculation of a PBEsol-optimized structure of MgTaAg2I, from Alexandria via LeMat-Bulk.

Output
As for the symmetry: P4/mmm (123). Its crystal system is tetragonal. Its formation energy from raw total energies is 1.2939 eV/atom. The value obtained for the density of states at the Fermi level is 3.98 states/eV per cell. The total energy comes out at -32.9127 eV per atom.

a = 4.802 Å, b = 4.802 Å, c = 5.287 Å
α = 90.00°, β = 90.00°, γ = 90.00°
Fractional coordinates of all 5 atoms:
Mg  0.000  0.000  0.000
Ta  0.000  0.000  0.500
Ag  0.000  0.500  0.000
Ag  0.500  0.000  0.000
I  0.500  0.500  0.500


# 8
The following is a meta-GGA SCAN calculation of a PBEsol-optimized structure of MnAg3I, from Alexandria via LeMat-Bulk.

Output
As for the symmetry: Pm-3m (221). Its crystal system is cubic. Its formation energy from raw total energies is 0.7501 eV/atom. The value obtained for the density of states at the Fermi level is 4.21 states/eV per cell. The total energy comes out at -29.0695 eV per atom.

a = 4.951 Å, b = 4.951 Å, c = 4.951 Å
α = 90.00°, β = 90.00°, γ = 90.00°
Fractional coordinates of all 5 atoms:
Mn  0.000  0.000  0.000
Ag  0.000  0.000  0.500
Ag  0.000  0.500  0.000
Ag  0.500  0.000  0.000
I  0.500  0.500  0.500


# 9
The following is a meta-GGA SCAN calculation of a PBEsol-optimized structure of MnAgI2N, from Alexandria via LeMat-Bulk.

Output
As for the symmetry: P4/mmm (123). Its crystal system is tetragonal. Its formation energy from raw total energies is 0.8105 eV/atom. The value obtained for the density of states at the Fermi level is 1.87 states/eV per cell. The total energy comes out at -25.6688 eV per atom.

a = 5.699 Å, b = 5.699 Å, c = 3.942 Å
α = 90.00°, β = 90.00°, γ = 90.00°
Fractional coordinates of all 5 atoms:
Mn  0.000  0.000  0.000
Ag  0.500  0.500  0.500
I  0.000  0.500  0.500
I  0.500  0.000  0.500
N  0.500  0.500  0.000


# 10
The following is a meta-GGA SCAN calculation of a PBEsol-optimized structure of MnNi2AgI, from Alexandria via LeMat-Bulk.

Output
As for the symmetry: P4/mmm (123). Its crystal system is tetragonal. Its formation energy from raw total energies is 1.0106 eV/atom. The value obtained for the density of states at the Fermi level is 2.30 states/eV per cell. The total energy comes out at -22.7315 eV per atom.

a = 4.416 Å, b = 4.416 Å, c = 4.901 Å
α = 90.00°, β = 90.00°, γ = 90.00°
Fractional coordinates of all 5 atoms:
Mn  0.000  0.000  0.000
Ni  0.000  0.500  0.000
Ni  0.500  0.000  0.000
Ag  0.000  0.000  0.500
I  0.500  0.500  0.500


# 11
The following is a meta-GGA SCAN calculation of a PBEsol-optimized structure of MnAgTeI2, from Alexandria via LeMat-Bulk.

Output
As for the symmetry: P4/mmm (123). Its crystal system is tetragonal. Its formation energy from raw total energies is 0.3697 eV/atom. The value obtained for the density of states at the Fermi level is 2.61 states/eV per cell. The total energy comes out at -31.7016 eV per atom.

a = 5.450 Å, b = 5.450 Å, c = 5.490 Å
α = 90.00°, β = 90.00°, γ = 90.00°
Fractional coordinates of all 5 atoms:
Mn  0.000  0.000  0.000
Ag  0.500  0.500  0.500
Te  0.500  0.500  0.000
I  0.000  0.500  0.500
I  0.500  0.000  0.500


# 12
The following is a meta-GGA SCAN calculation of a PBEsol-optimized structure of Y2MnAgI, from Alexandria via LeMat-Bulk.

Output
As for the symmetry: P4/mmm (123). Its crystal system is tetragonal. Its formation energy from raw total energies is 0.5787 eV/atom. The value obtained for the density of states at the Fermi level is 5.45 states/eV per cell. The total energy comes out at -27.8312 eV per atom.

a = 5.443 Å, b = 5.443 Å, c = 5.483 Å
α = 90.00°, β = 90.00°, γ = 90.00°
Fractional coordinates of all 5 atoms:
Y  0.000  0.500  0.000
Y  0.500  0.000  0.000
Mn  0.000  0.000  0.500
Ag  0.500  0.500  0.000
I  0.500  0.500  0.500